# Ac5Sn6, relaxed, DFT PBE
data_Ac5Sn6
_chemical_formula_sum 'Ac10 Sn12'
_cell_length_a 6.7723
_cell_length_b 15.0986
_cell_length_c 8.1769
_cell_angle_alpha 90.00
_cell_angle_beta 111.65
_cell_angle_gamma 90.00
_space_group_name_H-M_alt 'C 1 2/m 1'
_space_group_IT_number 12
loop_
_space_group_symop_operation_xyz
'x,y,z'
'-x,-y,-z'
'-x,y,-z'
'x,-y,z'
'x+1/2,y+1/2,z'
'-x+1/2,-y+1/2,-z'
'-x+1/2,y+1/2,-z'
'x+1/2,-y+1/2,z'
loop_
_atom_site_label
_atom_site_fract_x
_atom_site_fract_y
_atom_site_fract_z
Ac1 0.0000 0.0000 0.0000
Ac2 0.0000 0.2887 0.0000
Ac3 0.0000 0.3523 0.5000
Sn1 0.0525 0.1401 0.6893
Sn2 0.0725 0.5000 0.1998
# final energy: -4.5965 eV per atom
# total moment: 0.00 μB/f.u.
# relative energy among the computed polymorphs: 111 meV/atom
# density of states at the Fermi level: 15.6 states/eV/cell